# 1
# Ho3Er3Tl2

A geometry-optimized Ho3Er3Tl2 structure (PBE, the Alexandria database).

Unit cell a=4.8176 b=4.8203 c=9.6453 alpha=90.00 beta=90.00 gamma=90.00
Last column: magnetic moment on the atom in μB.
Sites, in units of the cell vectors:
Er 0.5000 0.5000 0.7504  0.17
Er 0.5000 0.0000 0.0000  0.16
Er 0.5000 0.5000 0.2496  0.17
Ho 0.0000 0.5000 0.0000  0.17
Ho 0.0000 0.5000 0.5000  0.17
Ho 0.5000 0.0000 0.5000  0.17
Tl 0.0000 0.0000 0.2497  -0.01
Tl 0.0000 0.0000 0.7503  -0.01

Results
Theoretical density ... 10.4 Mg/m³
Calculated volume ... 223.99 Å³ per cell
Distance to the lowest polymorph of the same formula ... 0.000 eV/atom
Electronic total energy ... -4.1892 eV per atom
Size of the total moment ... 1.20 μB per formula unit
D(E_F) ... 1.357 states/eV per atom

# 2
# LiMnRe3

A geometry-optimized LiMnRe3 structure (PBE, the Alexandria database).

Unit cell a=4.0729 b=4.0729 c=4.0729 alpha=90.00 beta=90.00 gamma=90.00
Sites, in units of the cell vectors:
Mn 0.5000 0.5000 0.5000
Re 0.0000 0.0000 0.5000
Re 0.5000 0.0000 0.0000
Re 0.0000 0.5000 0.0000
Li 0.0000 0.0000 0.0000

Results
Theoretical density ... 15.2 Mg/m³
Calculated volume ... 67.57 Å³ per cell
Distance to the lowest polymorph of the same formula ... 0.000 eV/atom
Electronic total energy ... -8.2534 eV per atom
Size of the total moment ... 0.00 μB per formula unit
D(E_F) ... 1.174 states/eV per atom

# 3
# LaGe2Se6

A geometry-optimized LaGe2Se6 structure (PBE, the Alexandria database).

Unit cell a=6.8517 b=8.7825 c=8.7825 alpha=82.39 beta=75.64 gamma=75.64
Sites, in units of the cell vectors:
Ge 0.2135 0.2264 0.3704
Ge 0.7865 0.7736 0.6296
Ge 0.7135 0.3704 0.2264
Ge 0.2865 0.6296 0.7736
La 0.7500 0.8297 0.1703
La 0.2500 0.1703 0.8297
Se 0.3225 0.0456 0.1676
Se 0.4946 0.7478 0.5352
Se 0.8225 0.1676 0.0456
Se 0.5124 0.4001 0.8545
Se 0.9876 0.1455 0.5999
Se 0.0124 0.8545 0.4001
Se 0.6775 0.9544 0.8324
Se 0.4876 0.5999 0.1455
Se 0.1775 0.8324 0.9544
Se 0.9946 0.5352 0.7478
Se 0.0054 0.4648 0.2522
Se 0.5054 0.2522 0.4648

Results
Theoretical density ... 5.1 Mg/m³
Calculated volume ... 494.56 Å³ per cell
Electronic total energy ... -4.4997 eV per atom
Size of the total moment ... 0.00 μB per formula unit
D(E_F) ... 0.433 states/eV per atom

# 4
# Li2ScFe

A geometry-optimized Li2ScFe structure (PBE, the Alexandria database).

Unit cell a=5.0227 b=2.9304 c=4.4861 alpha=82.42 beta=90.00 gamma=90.00
Last column: magnetic moment on the atom in μB.
Sites, in units of the cell vectors:
Sc 0.5000 0.2500 0.2500  -0.39
Fe 0.5000 0.7500 0.7500  1.93
Li 0.0000 0.9692 0.9726  -0.02
Li 0.0000 0.5308 0.5274  -0.02

Results
Theoretical density ... 2.9 Mg/m³
Calculated volume ... 65.45 Å³ per cell
Distance to the lowest polymorph of the same formula ... 0.066 eV/atom
Electronic total energy ... -4.4148 eV per atom
Size of the total moment ... 1.31 μB per formula unit
D(E_F) ... 0.945 states/eV per atom

# 5
# Ho4ZnIn

A geometry-optimized Ho4ZnIn structure (PBE, the Alexandria database).

Unit cell a=3.5499 b=3.5499 c=12.8054 alpha=90.00 beta=90.00 gamma=90.00
Sites, in units of the cell vectors:
Ho 0.5000 0.5000 0.1377
Ho 0.0000 0.0000 0.3342
Ho 0.5000 0.5000 0.8623
Ho 0.0000 0.0000 0.6658
In 0.5000 0.5000 0.5000
Zn 0.0000 0.0000 0.0000

Results
Theoretical density ... 8.6 Mg/m³
Calculated volume ... 161.37 Å³ per cell
Distance to the lowest polymorph of the same formula ... 0.000 eV/atom
Electronic total energy ... -3.9826 eV per atom
Size of the total moment ... 0.00 μB per formula unit
D(E_F) ... 1.069 states/eV per atom

# 6
# Ce4Ag5Sb7

A geometry-optimized Ce4Ag5Sb7 structure (PBE, the Alexandria database).

Unit cell a=6.2167 b=6.2167 c=11.2581 alpha=106.03 beta=106.03 gamma=90.00
Last column: magnetic moment on the atom in μB.
Sites, in units of the cell vectors:
Sb 0.4023 0.4023 0.3142  -0.02
Sb 0.9119 0.9119 0.3142  -0.02
Sb 0.5000 0.0000 0.0000  -0.01
Sb 0.0881 0.5977 0.6858  -0.02
Sb 0.0000 0.5000 0.0000  -0.01
Sb 0.5000 0.5000 0.0000  0.00
Sb 0.5977 0.0881 0.6858  -0.02
Ag 0.2500 0.7500 0.5000  -0.01
Ag 0.2513 0.2513 0.5026  -0.01
Ag 0.7500 0.2500 0.5000  -0.01
Ag 0.7487 0.7487 0.4974  -0.01
Ag 0.0000 0.0000 0.0000  0.00
Ce 0.8621 0.3729 0.2350  0.60
Ce 0.6271 0.6271 0.7650  0.60
Ce 0.1379 0.1379 0.7650  0.60
Ce 0.3729 0.8621 0.2350  0.60

Results
Theoretical density ... 8.1 Mg/m³
Calculated volume ... 400.56 Å³ per cell
Electronic total energy ... -4.7702 eV per atom
Size of the total moment ... 2.42 μB per formula unit
D(E_F) ... 1.468 states/eV per atom

# 7
# KRb3Tl2F6

A geometry-optimized KRb3Tl2F6 structure (PBE, the Alexandria database).

Unit cell a=6.9322 b=6.9322 c=6.9402 alpha=99.59 beta=99.59 gamma=119.99
Sites, in units of the cell vectors:
Tl 0.3336 0.6664 0.0000
Tl 0.6664 0.3336 0.0000
F 0.2439 0.2439 0.7548
F 0.7561 0.7561 0.2452
F 0.9184 0.5927 0.7553
F 0.5927 0.9184 0.7553
F 0.4073 0.0816 0.2447
F 0.0816 0.4073 0.2447
Rb 0.1678 0.8322 0.5000
Rb 0.8322 0.1678 0.5000
Rb 0.5000 0.5000 0.5000
K 0.0000 0.0000 0.0000

Results
Theoretical density ... 5.0 Mg/m³
Calculated volume ... 272.36 Å³ per cell
Electronic total energy ... -4.0282 eV per atom
Size of the total moment ... 0.00 μB per formula unit
D(E_F) ... 0.000 states/eV per atom

# 8
# Pm2CdNi3Sn4

A geometry-optimized Pm2CdNi3Sn4 structure (PBE, the Alexandria database).

Unit cell a=4.4478 b=4.4478 c=10.7946 alpha=90.00 beta=90.00 gamma=90.00
Sites, in units of the cell vectors:
Sn 0.5000 0.5000 0.0000
Sn 0.0000 0.0000 0.0000
Sn 0.5000 0.0000 0.6516
Sn 0.0000 0.5000 0.3484
Pm 0.5000 0.0000 0.2413
Pm 0.0000 0.5000 0.7587
Ni 0.0000 0.0000 0.5000
Ni 0.5000 0.0000 0.8815
Ni 0.0000 0.5000 0.1185
Cd 0.5000 0.5000 0.5000

Results
Theoretical density ... 8.2 Mg/m³
Calculated volume ... 213.55 Å³ per cell
Electronic total energy ... -4.8380 eV per atom
Size of the total moment ... 0.00 μB per formula unit
D(E_F) ... 0.506 states/eV per atom

# 9
# Cd3PtW

A geometry-optimized Cd3PtW structure (PBE, the Alexandria database).

Unit cell a=5.1370 b=5.1370 c=5.1370 alpha=90.00 beta=90.00 gamma=90.00
Last column: magnetic moment on the atom in μB.
Sites, in units of the cell vectors:
Cd 0.0000 0.5000 0.0000  -0.03
Cd 0.5000 0.0000 0.0000  0.01
Cd 0.0000 0.0000 0.5000  -0.01
Pt 0.0000 0.0000 0.0000  0.07
W 0.5000 0.5000 0.5000  3.24

Results
Theoretical density ... 8.8 Mg/m³
Calculated volume ... 135.56 Å³ per cell
Distance to the lowest polymorph of the same formula ... 0.000 eV/atom
Electronic total energy ... -3.1671 eV per atom
Size of the total moment ... 4.52 μB per formula unit
D(E_F) ... 0.521 states/eV per atom

# 10
# Ho5Tl3In

A geometry-optimized Ho5Tl3In structure (PBE, the Alexandria database).

Unit cell a=6.6549 b=9.2739 c=9.2736 alpha=120.00 beta=90.00 gamma=90.00
Sites, in units of the cell vectors:
Ho 0.0000 0.3333 0.6667
Ho 0.7500 0.7123 0.7123
Ho 0.0000 0.6667 0.3333
Ho 0.2500 0.0000 0.7123
Ho 0.2500 0.2877 0.2877
Ho 0.7500 0.2877 0.0000
Ho 0.5000 0.6667 0.3333
Ho 0.5000 0.3333 0.6667
Ho 0.7500 0.0000 0.2877
Ho 0.2500 0.7123 0.0000
Tl 0.2500 0.0000 0.3740
Tl 0.7500 0.6259 0.0000
Tl 0.2500 0.3741 0.0000
Tl 0.7500 0.0000 0.6260
Tl 0.2500 0.6260 0.6260
Tl 0.7500 0.3740 0.3740
In 0.0000 0.0000 0.0000
In 0.5000 0.0000 0.0000

Results
Theoretical density ... 10.4 Mg/m³
Calculated volume ... 495.65 Å³ per cell
Electronic total energy ... -3.9890 eV per atom
Size of the total moment ... 0.00 μB per formula unit
D(E_F) ... 0.688 states/eV per atom

# 11
# RhBr2F

A geometry-optimized RhBr2F structure (PBE, the Alexandria database).

Unit cell a=6.7998 b=6.7998 c=6.1173 alpha=56.24 beta=56.24 gamma=90.00
Sites, in units of the cell vectors:
Rh 0.7500 0.2500 0.5000
Rh 0.0000 0.0000 0.0000
Br 0.6661 0.1250 0.2500
Br 0.8750 0.9161 0.7500
Br 0.0839 0.6250 0.2500
Br 0.3750 0.3339 0.7500
F 0.2500 0.7500 0.5000
F 0.5000 0.5000 0.0000

Results
Theoretical density ... 5.4 Mg/m³
Calculated volume ... 174.86 Å³ per cell
Distance to the lowest polymorph of the same formula ... 0.585 eV/atom
Electronic total energy ... -3.2537 eV per atom
Size of the total moment ... 0.00 μB per formula unit
D(E_F) ... 0.856 states/eV per atom

# 12
# Sr3Ag2Bi4Pb2

A geometry-optimized Sr3Ag2Bi4Pb2 structure (PBE, the Alexandria database).

Unit cell a=4.9231 b=4.9231 c=18.0262 alpha=90.00 beta=90.00 gamma=120.00
Sites, in units of the cell vectors:
Ag 0.6667 0.3333 0.8620
Ag 0.3333 0.6667 0.1380
Bi 0.6667 0.3333 0.6518
Bi 0.3333 0.6667 0.8842
Bi 0.6667 0.3333 0.1158
Bi 0.3333 0.6667 0.3482
Sr 0.0000 0.0000 0.7581
Sr 0.0000 0.0000 0.2419
Sr 0.0000 0.0000 0.0000
Pb 0.6667 0.3333 0.4304
Pb 0.3333 0.6667 0.5696

Results
Theoretical density ... 7.6 Mg/m³
Calculated volume ... 378.37 Å³ per cell
Electronic total energy ... -3.5315 eV per atom
Size of the total moment ... 0.00 μB per formula unit
D(E_F) ... 0.083 states/eV per atom

# 13
# Ti2Al2Ir3

A geometry-optimized Ti2Al2Ir3 structure (PBE, the Alexandria database).

Unit cell a=4.2730 b=4.2710 c=7.4258 alpha=90.01 beta=106.69 gamma=120.01
Sites, in units of the cell vectors:
Ti 0.7462 0.8731 0.6190
Ti 0.2538 0.1269 0.3810
Al 0.2400 0.6198 0.8594
Al 0.7600 0.3802 0.1406
Ir 0.5018 0.7511 0.2532
Ir 0.4982 0.2489 0.7468
Ir 0.0000 0.0000 0.0000

Results
Theoretical density ... 10.9 Mg/m³
Calculated volume ... 110.70 Å³ per cell
Electronic total energy ... -7.9738 eV per atom
Size of the total moment ... 0.00 μB per formula unit
D(E_F) ... 0.398 states/eV per atom

# 14
# V2Pd8Au

A geometry-optimized V2Pd8Au structure (PBE, the Alexandria database).

Unit cell a=3.9233 b=6.3414 c=7.2970 alpha=106.07 beta=105.59 gamma=90.00
Last column: magnetic moment on the atom in μB.
Sites, in units of the cell vectors:
Pd 0.3968 0.5347 0.7935  0.00
Pd 0.9527 0.2757 0.9054  0.00
Pd 0.0473 0.7243 0.0946  0.00
Pd 0.1492 0.2114 0.2984  0.00
Pd 0.6832 0.9135 0.3664  0.00
Pd 0.6032 0.4653 0.2065  0.00
Pd 0.3168 0.0865 0.6336  0.00
Pd 0.8508 0.7886 0.7016  0.00
V 0.7780 0.3409 0.5560  0.05
V 0.2220 0.6591 0.4440  0.05
Au 0.5000 0.0000 0.0000  0.00

Results
Theoretical density ... 11.4 Mg/m³
Calculated volume ... 167.48 Å³ per cell
Electronic total energy ... -5.9227 eV per atom
Size of the total moment ... 0.11 μB per formula unit
D(E_F) ... 0.844 states/eV per atom

# 15
# Mg2ZrTa

A geometry-optimized Mg2ZrTa structure (PBE, the Alexandria database).

Unit cell a=2.9607 b=2.9607 c=9.6485 alpha=90.00 beta=90.00 gamma=90.00
Sites, in units of the cell vectors:
Zr 0.5000 0.5000 0.7358
Mg 0.0000 0.0000 0.0033
Mg 0.5000 0.5000 0.2598
Ta 0.0000 0.0000 0.5011

Results
Theoretical density ... 6.3 Mg/m³
Calculated volume ... 84.58 Å³ per cell
Distance to the lowest polymorph of the same formula ... 0.015 eV/atom
Electronic total energy ... -5.7876 eV per atom
Size of the total moment ... 0.00 μB per formula unit
D(E_F) ... 0.910 states/eV per atom

# 16
# PuUGaCo

A geometry-optimized PuUGaCo structure (PBE, the Alexandria database).

Unit cell a=4.6588 b=4.6588 c=4.6588 alpha=60.00 beta=60.00 gamma=60.00
Last column: magnetic moment on the atom in μB.
Sites, in units of the cell vectors:
U 0.5000 0.5000 0.5000  2.29
Ga 0.0000 0.0000 0.0000  0.04
Pu 0.2500 0.2500 0.2500  5.44
Co 0.7500 0.7500 0.7500  0.07

Results
Theoretical density ... 14.2 Mg/m³
Calculated volume ... 71.50 Å³ per cell
Electronic total energy ... -9.0064 eV per atom
Size of the total moment ... 8.03 μB per formula unit
D(E_F) ... 1.473 states/eV per atom

# 17
# LaSmErTh

A geometry-optimized LaSmErTh structure (PBE, the Alexandria database).

Unit cell a=5.7421 b=5.7421 c=5.7421 alpha=60.00 beta=60.00 gamma=60.00
Sites, in units of the cell vectors:
La 0.2500 0.2500 0.2500
Th 0.7500 0.7500 0.7500
Sm 0.0000 0.0000 0.0000
Er 0.5000 0.5000 0.5000

Results
Theoretical density ... 8.5 Mg/m³
Calculated volume ... 133.87 Å³ per cell
Distance to the lowest polymorph of the same formula ... 0.116 eV/atom
Electronic total energy ... -5.2678 eV per atom
Size of the total moment ... 0.00 μB per formula unit
D(E_F) ... 1.837 states/eV per atom

# 18
# TiAl2Cr

A geometry-optimized TiAl2Cr structure (PBE, the Alexandria database).

Unit cell a=2.7711 b=2.7711 c=9.1365 alpha=81.28 beta=81.28 gamma=60.00
Sites, in units of the cell vectors:
Al 0.2555 0.2555 0.2336
Al 0.7445 0.7445 0.7664
Ti 0.5000 0.5000 0.5000
Cr 0.0000 0.0000 0.0000

Results
Theoretical density ... 4.3 Mg/m³
Calculated volume ... 59.82 Å³ per cell
Distance to the lowest polymorph of the same formula ... 0.222 eV/atom
Electronic total energy ... -6.2501 eV per atom
Size of the total moment ... 0.00 μB per formula unit
D(E_F) ... 1.026 states/eV per atom

# 19
# La4ZnSi

A geometry-optimized La4ZnSi structure (PBE, the Alexandria database).

Unit cell a=10.0954 b=10.0954 c=10.0954 alpha=60.00 beta=60.00 gamma=60.00
Sites, in units of the cell vectors:
La 0.8403 0.3866 0.3866
La 0.3866 0.8403 0.3866
La 0.3866 0.3866 0.8403
La 0.1897 0.1897 0.8103
La 0.3866 0.3866 0.3866
La 0.9394 0.5606 0.5606
La 0.9394 0.9394 0.5606
La 0.8103 0.8103 0.1897
La 0.5606 0.9394 0.5606
La 0.1897 0.8103 0.1897
La 0.9394 0.5606 0.9394
La 0.8103 0.1897 0.1897
La 0.1897 0.8103 0.8103
La 0.8103 0.1897 0.8103
La 0.5606 0.9394 0.9394
La 0.5606 0.5606 0.9394
Zn 0.1692 0.1692 0.1692
Zn 0.1692 0.1692 0.4923
Zn 0.4923 0.1692 0.1692
Zn 0.1692 0.4923 0.1692
Si 0.6028 0.1915 0.6028
Si 0.6028 0.6028 0.6028
Si 0.6028 0.6028 0.1915
Si 0.1915 0.6028 0.6028

Results
Theoretical density ... 5.9 Mg/m³
Calculated volume ... 727.53 Å³ per cell
Distance to the lowest polymorph of the same formula ... 0.000 eV/atom
Electronic total energy ... -4.6875 eV per atom
Size of the total moment ... 0.00 μB per formula unit
D(E_F) ... 1.383 states/eV per atom

# 20
# Sr2Zn3Sn4Ir

A geometry-optimized Sr2Zn3Sn4Ir structure (PBE, the Alexandria database).

Unit cell a=4.7054 b=4.7054 c=11.0962 alpha=90.00 beta=90.00 gamma=90.00
Sites, in units of the cell vectors:
Sn 0.5000 0.0000 0.6198
Sn 0.0000 0.5000 0.3802
Sn 0.0000 0.0000 0.0000
Sn 0.5000 0.5000 0.0000
Ir 0.5000 0.5000 0.5000
Sr 0.0000 0.5000 0.7332
Sr 0.5000 0.0000 0.2668
Zn 0.5000 0.0000 0.8603
Zn 0.0000 0.5000 0.1397
Zn 0.0000 0.0000 0.5000

Results
Theoretical density ... 7.0 Mg/m³
Calculated volume ... 245.68 Å³ per cell
Electronic total energy ... -3.5421 eV per atom
Size of the total moment ... 0.00 μB per formula unit
D(E_F) ... 0.442 states/eV per atom